1.
{
  "formula": "IrOsCl2",
  "functional": "PBE",
  "state": "optimized geometry",
  "cell": [[-2.879, -0.088, -0.680], [0.444, -2.477, -1.557], [-1.544, -4.775, 7.155]],
  "species": ["Os", "Ir", "Cl", "Cl"],
  "fractional_positions": [[0.500, 0.500, 0.715], [0.000, 0.000, 0.537], [0.000, 0.000, 0.915], [0.500, 0.500, 0.332]],
  "m_tot_mub_per_cell": 0.000,
  "formation_energy_uncorrected_ev_per_atom": 0.389
}



2.
{
  "formula": "Cs2TlSiF6",
  "functional": "PBE",
  "state": "optimized geometry",
  "cell": [[6.177, 0.000, 0.000], [3.089, 5.350, 0.000], [3.089, 1.783, 15.442]],
  "species": ["Cs", "Cs", "Cs", "Cs", "F", "F", "F", "F", "F", "F", "F", "F", "F", "F", "F", "F", "Tl", "Tl", "Si", "Si"],
  "fractional_positions": [[0.303, 0.303, 0.090], [0.136, 0.136, 0.593], [0.864, 0.864, 0.407], [0.697, 0.697, 0.910], [0.216, 0.610, 0.564], [0.154, 0.757, 0.936], [0.390, 0.784, 0.436], [0.390, 0.390, 0.436], [0.846, 0.243, 0.064], [0.846, 0.846, 0.064], [0.243, 0.846, 0.064], [0.154, 0.154, 0.936], [0.610, 0.610, 0.564], [0.757, 0.154, 0.936], [0.784, 0.390, 0.436], [0.610, 0.216, 0.564], [0.584, 0.584, 0.249], [0.416, 0.416, 0.751], [0.500, 0.500, 0.500], [0.000, 0.000, 0.000]],
  "m_tot_mub_per_cell": 1.585,
  "formation_energy_uncorrected_ev_per_atom": -2.660
}



3.
{
  "formula": "SrZrTa2",
  "functional": "PBE",
  "state": "optimized geometry",
  "cell": [[3.666, 0.000, 0.000], [0.000, 3.666, 0.000], [0.000, 0.000, 7.522]],
  "species": ["Zr", "Sr", "Ta", "Ta"],
  "fractional_positions": [[0.500, 0.500, 0.250], [0.500, 0.500, 0.750], [0.000, 0.000, 0.427], [0.000, 0.000, 0.073]],
  "m_tot_mub_per_cell": 0.000,
  "ef_ev_per_atom": 0.60
}



4.
{
  "formula": "PuZr2W",
  "functional": "PBE",
  "state": "optimized geometry",
  "cell": [[2.943, 0.000, 0.000], [1.472, 2.549, 0.000], [1.472, 0.850, 11.336]],
  "species": ["Zr", "Zr", "Pu", "W"],
  "fractional_positions": [[0.091, 0.091, 0.728], [0.909, 0.909, 0.272], [0.000, 0.000, 0.000], [0.500, 0.500, 0.500]],
  "m_tot_mub_per_cell": 4.637,
  "ef_ev_per_atom": 0.49
}



5.
{
  "formula": "EuMgGe4",
  "functional": "PBE",
  "state": "optimized geometry",
  "cell": [[5.649, 0.000, 0.000], [2.825, 4.892, 0.000], [2.825, 1.631, 4.613]],
  "species": ["Ge", "Ge", "Ge", "Ge", "Eu", "Mg"],
  "fractional_positions": [[0.122, 0.626, 0.626], [0.626, 0.122, 0.626], [0.626, 0.626, 0.626], [0.626, 0.626, 0.122], [0.250, 0.250, 0.250], [0.000, 0.000, 0.000]],
  "m_tot_mub_per_cell": 6.941,
  "ef_ev_per_atom": -0.22
}



6.
{
  "formula": "BaCa2Mg",
  "functional": "PBE",
  "state": "optimized geometry",
  "cell": [[-3.868, 0.941, 0.480], [-0.763, -3.748, 1.200], [1.893, 2.766, 9.841]],
  "species": ["Ca", "Ca", "Ba", "Mg"],
  "fractional_positions": [[0.000, 0.000, 0.440], [0.000, 0.000, 0.060], [0.500, 0.500, 0.750], [0.500, 0.500, 0.250]],
  "m_tot_mub_per_cell": 0.000,
  "ef_ev_per_atom": 0.00
}



7.
{
  "formula": "ThNiBiAu",
  "functional": "PBE",
  "state": "optimized geometry",
  "cell": [[5.033, 0.000, 0.000], [2.517, 4.359, 0.000], [2.517, 1.453, 4.110]],
  "species": ["Au", "Bi", "Th", "Ni"],
  "fractional_positions": [[0.250, 0.250, 0.250], [0.000, 0.000, 0.000], [0.500, 0.500, 0.500], [0.750, 0.750, 0.750]],
  "m_tot_mub_per_cell": 0.000,
  "ef_ev_per_atom": -0.34
}



8.
{
  "formula": "RbCd2PdAu",
  "functional": "PBE",
  "state": "optimized geometry",
  "cell": [[5.273, 0.000, 0.000], [0.000, 5.273, 0.000], [0.000, 0.000, 5.381]],
  "species": ["Cd", "Cd", "Rb", "Pd", "Au"],
  "fractional_positions": [[0.000, 0.500, 0.000], [0.500, 0.000, 0.000], [0.500, 0.500, 0.500], [0.000, 0.000, 0.000], [0.000, 0.000, 0.500]],
  "m_tot_mub_per_cell": 0.000,
  "ef_ev_per_atom": -0.15
}



9.
{
  "formula": "Th3In2Hg",
  "functional": "PBE",
  "state": "optimized geometry",
  "cell": [[3.493, 0.000, 0.000], [0.000, 3.493, 0.000], [0.000, 0.000, 13.842]],
  "species": ["Th", "Th", "Th", "In", "In", "Hg"],
  "fractional_positions": [[0.000, 0.000, 0.000], [0.000, 0.000, 0.336], [0.000, 0.000, 0.664], [0.500, 0.500, 0.832], [0.500, 0.500, 0.168], [0.500, 0.500, 0.500]],
  "m_tot_mub_per_cell": 0.000,
  "ef_ev_per_atom": -0.27
}



10.
{
  "formula": "Au5Se4",
  "functional": "PBE",
  "state": "optimized geometry",
  "cell": [[-4.317, 1.765, 6.146], [5.309, -5.576, 0.489], [5.086, 5.029, 2.129]],
  "species": ["Au", "Au", "Au", "Au", "Au", "Au", "Au", "Au", "Au", "Au", "Se", "Se", "Se", "Se", "Se", "Se", "Se", "Se"],
  "fractional_positions": [[0.743, 0.743, 0.750], [0.257, 0.000, 0.750], [0.333, 0.667, 0.500], [0.000, 0.743, 0.250], [0.743, 0.000, 0.250], [0.000, 0.257, 0.750], [0.667, 0.333, 0.000], [0.257, 0.257, 0.250], [0.667, 0.333, 0.500], [0.333, 0.667, 0.000], [0.000, 0.000, 0.500], [0.000, 0.000, 0.000], [0.587, 0.000, 0.750], [0.587, 0.587, 0.250], [0.413, 0.413, 0.750], [0.413, 0.000, 0.250], [0.000, 0.413, 0.250], [0.000, 0.587, 0.750]],
  "m_tot_mub_per_cell": 0.000,
  "formation_energy_uncorrected_ev_per_atom": 0.320
}



11.
{
  "formula": "CuPBr2",
  "functional": "PBE",
  "state": "optimized geometry",
  "cell": [[4.039, 0.000, 0.000], [0.000, 6.691, 0.030], [0.000, 4.444, 3.166]],
  "species": ["Br", "Br", "Cu", "P"],
  "fractional_positions": [[0.000, 0.000, 0.000], [0.500, 0.500, 0.000], [0.500, 0.500, 0.500], [0.000, 0.000, 0.500]],
  "m_tot_mub_per_cell": 0.000,
  "formation_energy_uncorrected_ev_per_atom": 0.448
}



12.
{
  "formula": "Ac2CuPb",
  "functional": "PBE",
  "state": "optimized geometry",
  "cell": [[3.892, 0.000, 0.000], [0.000, 3.892, 0.000], [0.000, 0.000, 8.356]],
  "species": ["Ac", "Ac", "Cu", "Pb"],
  "fractional_positions": [[0.000, 0.000, 0.776], [0.000, 0.000, 0.224], [0.500, 0.500, 0.000], [0.500, 0.500, 0.500]],
  "m_tot_mub_per_cell": 0.000,
  "ef_ev_per_atom": -0.26
}



13.
{
  "formula": "InSn3Se",
  "functional": "PBE",
  "state": "optimized geometry",
  "cell": [[-3.908, -1.180, 3.854], [-3.770, -0.828, -4.076], [1.425, -5.426, -0.216]],
  "species": ["Sn", "Sn", "Sn", "In", "Se"],
  "fractional_positions": [[0.000, 0.000, 0.500], [0.000, 0.500, 0.000], [0.500, 0.000, 0.000], [0.000, 0.000, 0.000], [0.500, 0.500, 0.500]],
  "m_tot_mub_per_cell": 0.000,
  "formation_energy_uncorrected_ev_per_atom": 0.603
}



14.
{
  "formula": "InSbBr2",
  "functional": "PBE",
  "state": "optimized geometry",
  "cell": [[4.699, 0.000, 0.000], [0.000, 3.647, -0.211], [0.000, 0.479, 7.278]],
  "species": ["Br", "Br", "Sb", "In"],
  "fractional_positions": [[0.000, 0.742, 0.504], [0.000, 0.758, 0.996], [0.500, 0.750, 0.750], [0.500, 0.250, 0.250]],
  "m_tot_mub_per_cell": 0.000,
  "formation_energy_uncorrected_ev_per_atom": -0.238
}



15.
{
  "formula": "Hf2Mn2Br",
  "functional": "PBE",
  "state": "optimized geometry",
  "cell": [[3.443, 0.000, 0.000], [0.000, 3.443, 0.000], [1.722, 1.722, 8.088]],
  "species": ["Hf", "Hf", "Mn", "Mn", "Br"],
  "fractional_positions": [[0.629, 0.629, 0.742], [0.371, 0.371, 0.258], [0.750, 0.250, 0.500], [0.250, 0.750, 0.500], [0.000, 0.000, 0.000]],
  "m_tot_mub_per_cell": 2.652,
  "formation_energy_uncorrected_ev_per_atom": 0.157
}



16.
{
  "formula": "NaPaAu4",
  "functional": "PBE",
  "state": "optimized geometry",
  "cell": [[3.441, 0.000, 0.995], [1.869, 4.919, -0.016], [-0.316, -1.222, 7.541]],
  "species": ["Au", "Au", "Au", "Au", "Pa", "Na"],
  "fractional_positions": [[0.669, 0.991, 0.671], [0.158, 0.514, 0.170], [0.842, 0.486, 0.830], [0.331, 0.009, 0.329], [0.500, 0.500, 0.500], [0.000, 0.000, 0.000]],
  "m_tot_mub_per_cell": 0.524,
  "ef_ev_per_atom": -0.30
}



17.
{
  "formula": "Y2BeFe",
  "functional": "PBE",
  "state": "optimized geometry",
  "cell": [[-0.625, 3.769, -0.640], [-2.275, 0.168, 3.209], [3.195, 1.313, 4.615]],
  "species": ["Y", "Y", "Fe", "Be"],
  "fractional_positions": [[0.000, 0.985, 0.905], [0.500, 0.265, 0.344], [0.500, 0.572, 0.732], [0.000, 0.678, 0.519]],
  "m_tot_mub_per_cell": 0.589,
  "ef_ev_per_atom": 0.00
}



18.
{
  "formula": "BaPS2N",
  "functional": "PBE",
  "state": "optimized geometry",
  "cell": [[-3.956, -2.673, -1.995], [-1.674, -1.086, 4.774], [-2.057, 3.062, -0.025]],
  "species": ["Ba", "S", "S", "N", "P"],
  "fractional_positions": [[0.500, 0.500, 0.500], [0.000, 0.500, 0.000], [0.500, 0.000, 0.000], [0.000, 0.000, 0.000], [0.000, 0.000, 0.500]],
  "m_tot_mub_per_cell": 0.000,
  "formation_energy_uncorrected_ev_per_atom": 0.137
}



19.
{
  "formula": "LiDyInPt",
  "functional": "PBE",
  "state": "optimized geometry",
  "cell": [[-2.509, -3.129, 2.624], [1.404, -4.575, 0.264], [1.831, -1.712, 4.085]],
  "species": ["Pt", "Dy", "In", "Li"],
  "fractional_positions": [[0.750, 0.750, 0.750], [0.000, 0.000, 0.000], [0.500, 0.500, 0.500], [0.250, 0.250, 0.250]],
  "m_tot_mub_per_cell": 0.000,
  "ef_ev_per_atom": -0.77
}



20.
{
  "formula": "DyScGa2",
  "functional": "PBE",
  "state": "optimized geometry",
  "cell": [[-3.985, -2.743, 0.805], [-2.500, -1.862, -3.786], [0.122, -4.822, -0.885]],
  "species": ["Ga", "Ga", "Sc", "Dy"],
  "fractional_positions": [[0.750, 0.750, 0.750], [0.250, 0.250, 0.250], [0.500, 0.500, 0.500], [0.000, 0.000, 0.000]],
  "m_tot_mub_per_cell": 0.000,
  "ef_ev_per_atom": -0.58
}